Entry 1:
First-principles (GGA-PBE) data for BiMo4SN2 after structural relaxation, as listed in OQMD.

The structure in POSCAR format:
```
BiMo4SN2
1.0
3.334 0.000 0.000
-1.667 2.887 0.000
0.000 0.000 12.262
Bi Mo S N
1 4 1 2
Direct
0.000 0.000 0.000
0.000 0.000 0.372
0.000 0.000 0.628
0.333 0.667 0.208
0.333 0.667 0.792
0.333 0.667 0.500
0.667 0.333 0.256
0.667 0.333 0.744
```

Values from the calculation:
The mass density is 9.19 g cm⁻³. As for the crystal system: hexagonal. The total energy is -8.517 eV per atom.

Entry 2:
First-principles (GGA-PBE) data for NaLuHfNi after structural relaxation, as listed in OQMD.

The structure in POSCAR format:
```
NaLuHfNi
1.0
0.000 3.421 3.421
3.421 0.000 3.421
3.421 3.421 0.000
Na Lu Hf Ni
1 1 1 1
Direct
0.000 0.000 0.000
0.750 0.750 0.750
0.250 0.250 0.250
0.500 0.500 0.500
```

Values from the calculation:
The value obtained for the excess energy over the best structure of this formula in the dataset is 0 meV/atom. The mass density is 9.02 g cm⁻³. As for the crystal system: cubic. The total energy is -5.032 eV per atom.

Entry 3:
First-principles (GGA-PBE) data for CsNiS2 after structural relaxation, as listed in OQMD.

The structure in POSCAR format:
```
CsNiS2
1.0
3.629 -6.068 0.000
3.629 6.068 0.000
-2.147 0.000 5.198
Cs Ni S
2 2 4
Direct
0.145 0.855 0.750
0.855 0.145 0.250
0.498 0.502 0.250
0.502 0.498 0.750
0.231 0.425 0.914
0.425 0.231 0.414
0.575 0.769 0.586
0.769 0.575 0.086
```

Values from the calculation:
The value obtained for the excess energy over the best structure of this formula in the dataset is 0 meV/atom. The mass density is 3.71 g cm⁻³. As for the crystal system: monoclinic. The total energy is -4.299 eV per atom.

Entry 4:
First-principles (GGA-PBE) data for TcNiAgB after structural relaxation, as listed in OQMD.

The structure in POSCAR format:
```
TcNiAgB
1.0
0.000 2.899 2.899
2.899 0.000 2.899
2.899 2.899 0.000
Tc Ni Ag B
1 1 1 1
Direct
0.000 0.000 0.000
0.750 0.750 0.750
0.500 0.500 0.500
0.250 0.250 0.250
```

Values from the calculation:
The value obtained for the excess energy over the best structure of this formula in the dataset is 0 meV/atom. The mass density is 9.39 g cm⁻³. As for the crystal system: cubic. The total energy is -5.734 eV per atom.

Entry 5:
First-principles (GGA-PBE) data for KNdO3 after structural relaxation, as listed in OQMD.

The structure in POSCAR format:
```
KNdO3
1.0
3.211 1.854 5.139
-3.211 1.854 5.139
0.000 -3.708 5.139
K Nd O
2 2 6
Direct
0.250 0.250 0.250
0.750 0.750 0.750
0.000 0.000 0.000
0.500 0.500 0.500
0.177 0.750 0.323
0.250 0.677 0.823
0.323 0.177 0.750
0.677 0.823 0.250
0.750 0.323 0.177
0.823 0.250 0.677
```

Values from the calculation:
The mass density is 4.19 g cm⁻³. As for the crystal system: trigonal. The total energy is -5.877 eV per atom.

Entry 6:
First-principles (GGA-PBE) data for TlCoNiIr after structural relaxation, as listed in OQMD.

The structure in POSCAR format:
```
TlCoNiIr
1.0
0.000 3.074 3.074
3.074 0.000 3.074
3.074 3.074 0.000
Tl Co Ni Ir
1 1 1 1
Direct
0.000 0.000 0.000
0.250 0.250 0.250
0.750 0.750 0.750
0.500 0.500 0.500
```

Values from the calculation:
The value obtained for the excess energy over the best structure of this formula in the dataset is 0 meV/atom. The mass density is 14.69 g cm⁻³. As for the crystal system: cubic. The total energy is -5.554 eV per atom.

Entry 7:
First-principles (GGA-PBE) data for LiZrTc2 after structural relaxation, as listed in OQMD.

The structure in POSCAR format:
```
LiZrTc2
1.0
0.000 3.151 3.151
3.151 0.000 3.151
3.151 3.151 0.000
Li Zr Tc
1 1 2
Direct
0.000 0.000 0.000
0.250 0.250 0.250
0.500 0.500 0.500
0.750 0.750 0.750
```

Values from the calculation:
The mass density is 7.80 g cm⁻³. As for the crystal system: cubic. The total energy is -7.741 eV per atom.

Entry 8:
First-principles (GGA-PBE) data for LuCuGeMo after structural relaxation, as listed in OQMD.

The structure in POSCAR format:
```
LuCuGeMo
1.0
0.000 3.225 3.225
3.225 0.000 3.225
3.225 3.225 0.000
Lu Cu Ge Mo
1 1 1 1
Direct
0.000 0.000 0.000
0.750 0.750 0.750
0.500 0.500 0.500
0.250 0.250 0.250
```

Values from the calculation:
The value obtained for the excess energy over the best structure of this formula in the dataset is 0 meV/atom. The mass density is 10.08 g cm⁻³. As for the crystal system: cubic. The total energy is -5.719 eV per atom.